[1]
First-principles (PBE) data for a geometry-optimized Na2PrHgSb2 structure, as listed in the Alexandria database.

Summary:
ΔE_f (raw): -0.539 eV/atom
SG: Pmc2_1, No. 26

abc: 4.5717 9.1596 8.4091
angles: 90.00 90.00 90.00
Closest atoms and distances in Å follow each position.
Atoms (fractional coordinates):
Na 0.0000 0.0760 0.0000  5 Sb 3.30-3.60, 1 Hg 3.48, 4 Na 3.56-3.64
Na 0.0000 0.9240 0.5000  5 Sb 3.30-3.60, 1 Hg 3.48, 4 Na 3.56-3.64
Na 0.5000 0.1724 0.3204  4 Sb 3.10-3.35, 2 Hg 3.30
Na 0.5000 0.8276 0.8204  4 Sb 3.10-3.35, 2 Hg 3.30
Pr 0.5000 0.4506 0.9180  5 Sb 3.21-3.32, 2 Hg 3.48, 1 Na 3.55
Pr 0.5000 0.5494 0.4180  5 Sb 3.21-3.32, 2 Hg 3.48, 1 Na 3.55
Hg 0.0000 0.2984 0.5678  3 Sb 2.93-3.00
Hg 0.0000 0.7016 0.0678  3 Sb 2.93-3.00
Sb 0.0000 0.3931 0.1867  2 Hg 3.00-3.32, 3 Na 3.25-3.30, 4 Pr 3.26-3.32
Sb 0.0000 0.6069 0.6867  2 Hg 3.00-3.32, 3 Na 3.25-3.30, 4 Pr 3.26-3.32
Sb 0.5000 0.1526 0.7179  2 Hg 2.93, 1 Na 3.10, 1 Pr 3.21
Sb 0.5000 0.8474 0.2179  2 Hg 2.93, 1 Na 3.10, 1 Pr 3.21

***

[2]
First-principles (PBE) data for a geometry-optimized MgCuO2 structure, as listed in the Alexandria database.

Summary:
ΔE_f (raw): -1.558 eV/atom
SG: I4_1/amd, No. 141

abc: 6.3907 6.3907 6.3907
angles: 126.79 126.79 78.59
Closest atoms and distances in Å follow each position.
Atoms (fractional coordinates):
Mg 0.0000 0.0000 0.0000  6 O 2.11-2.14
Mg 0.0000 0.0000 0.5000  6 O 2.11-2.14
Mg 0.0000 0.5000 0.0000  6 O 2.11-2.14
Mg 0.5000 0.0000 0.5000  6 O 2.11-2.14
Cu 0.0000 0.5000 0.5000  4 O 2.00
Cu 0.5000 0.0000 0.0000  4 O 2.00
Cu 0.5000 0.5000 0.0000  4 O 2.00
Cu 0.5000 0.5000 0.5000  4 O 2.00
O 0.2163 0.2300 0.5136  2 Cu 2.00, 3 Mg 2.11-2.14
O 0.2163 0.7027 0.9864  2 Cu 2.00, 3 Mg 2.11-2.14
O 0.2300 0.2163 0.0136  2 Cu 2.00, 3 Mg 2.11-2.14
O 0.2973 0.7837 0.5136  2 Cu 2.00, 3 Mg 2.11-2.14
O 0.7027 0.2163 0.4864  2 Cu 2.00, 3 Mg 2.11-2.14
O 0.7700 0.7837 0.9864  2 Cu 2.00, 3 Mg 2.11-2.14
O 0.7837 0.2973 0.0136  2 Cu 2.00, 3 Mg 2.11-2.14
O 0.7837 0.7700 0.4864  2 Cu 2.00, 3 Mg 2.11-2.14

***

[3]
First-principles (PBE) data for a geometry-optimized Tb4Th3 structure, as listed in the Alexandria database.

Summary:
Formation enthalpy at 0 K: 0.152 eV/atom
Polymorph energy (0 for the lowest one): 117 meV/atom
SG: C2/m, No. 12

abc: 8.7689 8.7689 8.6932
angles: 117.36 117.36 22.82
Closest atoms and distances in Å follow each position.
Atoms (fractional coordinates):
Tb 0.0811 0.0811 0.2050  5 Tb 3.34-3.65, 4 Th 3.38-3.52
Tb 0.3637 0.3637 0.1004  8 Tb 3.47-3.87, 5 Th 3.60-3.62
Tb 0.6363 0.6363 0.8996  8 Tb 3.47-3.87, 5 Th 3.60-3.62
Tb 0.9189 0.9189 0.7950  5 Tb 3.34-3.65, 4 Th 3.38-3.52
Th 0.0000 0.0000 0.5000  4 Th 3.36-3.47, 6 Tb 3.45-3.60
Th 0.2180 0.2180 0.6384  5 Th 3.36-3.53, 6 Tb 3.38-3.62
Th 0.7820 0.7820 0.3616  5 Th 3.36-3.53, 6 Tb 3.38-3.62

***

[4]
First-principles (PBE) data for a geometry-optimized ZrOF2 structure, as listed in the Alexandria database.

Summary:
ΔE_f (raw): -1.367 eV/atom
SG: R-3m, No. 166

abc: 8.7820 8.7820 8.7820
angles: 19.55 19.55 19.55
Closest atoms and distances in Å follow each position.
Atoms (fractional coordinates):
Zr 0.0000 0.0000 0.0000  6 F 2.26
O 0.5000 0.5000 0.5000  2 F 2.84, 6 O 2.98
F 0.3899 0.3899 0.3899  3 Zr 2.26
F 0.6101 0.6101 0.6101  3 Zr 2.26

***

[5]
First-principles (PBE) data for a geometry-optimized Ac2CuP3Pt12 structure, as listed in the Alexandria database.

Summary:
Formation enthalpy at 0 K: -0.464 eV/atom
SG: R-3m, No. 166

abc: 7.8004 7.8004 7.8004
angles: 64.05 64.05 64.05
Closest atoms and distances in Å follow each position.
Atoms (fractional coordinates):
Ac 0.1189 0.1189 0.1189  6 Pt 3.01-3.16
Ac 0.8811 0.8811 0.8811  6 Pt 3.01-3.16
Cu 0.5000 0.5000 0.5000  6 Pt 2.43
P 0.0000 0.5000 0.5000  6 Pt 2.27-2.32
P 0.5000 0.0000 0.5000  6 Pt 2.27-2.32
P 0.5000 0.5000 0.0000  6 Pt 2.27-2.32
Pt 0.1361 0.6155 0.6155  1 P 2.27, 1 Cu 2.43
Pt 0.1592 0.1592 0.6000  2 P 2.32
Pt 0.1592 0.6000 0.1592  2 P 2.32
Pt 0.3845 0.3845 0.8639  1 P 2.27, 1 Cu 2.43
Pt 0.3845 0.8639 0.3845  1 P 2.27, 1 Cu 2.43
Pt 0.4000 0.8408 0.8408  2 P 2.32
Pt 0.6000 0.1592 0.1592  2 P 2.32
Pt 0.6155 0.1361 0.6155  1 P 2.27, 1 Cu 2.43
Pt 0.6155 0.6155 0.1361  1 P 2.27, 1 Cu 2.43
Pt 0.8408 0.4000 0.8408  2 P 2.32
Pt 0.8408 0.8408 0.4000  2 P 2.32
Pt 0.8639 0.3845 0.3845  1 P 2.27, 1 Cu 2.43

***

[6]
First-principles (PBE) data for a geometry-optimized Ag2C2N structure, as listed in the Alexandria database.

Summary:
ΔE_f (raw): 1.693 eV/atom
Polymorph energy (0 for the lowest one): 0 meV/atom
SG: P4/mbm, No. 127

abc: 6.1130 6.1130 3.8084
angles: 90.00 90.00 90.00
Closest atoms and distances in Å follow each position.
Atoms (fractional coordinates):
Ag 0.2099 0.2901 0.0000  2 N 2.19, 2 C 2.24
Ag 0.2901 0.7901 0.0000  2 N 2.19, 2 C 2.24
Ag 0.7099 0.2099 0.0000  2 N 2.19, 2 C 2.24
Ag 0.7901 0.7099 0.0000  2 N 2.19, 2 C 2.24
C 0.0740 0.4260 0.5000  1 C 1.28
C 0.4260 0.9260 0.5000  1 C 1.28
C 0.5740 0.0740 0.5000  1 C 1.28
C 0.9260 0.5740 0.5000  1 C 1.28
N 0.0000 0.0000 0.0000  4 Ag 2.19
N 0.5000 0.5000 0.0000  4 Ag 2.19